[1]
## TiNb3Si (PBE-GGA)

Data for a relaxed structure of TiNb3Si.

CIF file:
```
data_TiNb3Si
_chemical_formula_sum 'Ti1 Nb3 Si1'
_cell_length_a 4.6593
_cell_length_b 4.6593
_cell_length_c 4.6593
_cell_angle_alpha 90.00
_cell_angle_beta 90.00
_cell_angle_gamma 90.00
_space_group_name_H-M_alt 'P m -3 m'
_space_group_IT_number 221
_space_group_name_Hall '-P 4 2 3'
loop_
_atom_site_label
_atom_site_fract_x
_atom_site_fract_y
_atom_site_fract_z
Ti1 0.0000 0.0000 0.0000
Nb1 0.0000 0.0000 0.5000
Si1 0.5000 0.5000 0.5000
```

Summary:
Formation energy (no corrections) in kcal/mol of atoms: 28.0
Magnetic moment in μB/cell: 0.000
Polymorph energy (0 for the lowest one) in meV per atom: 842.9
DOS at the Fermi energy in states/eV/atom: 0.81
ρ in g/cm³: 5.8


[2]
## AgPClF6 (PBE-GGA)

Data for a relaxed structure of AgPClF6.

CIF file:
```
data_AgPClF6
_chemical_formula_sum 'Ag1 P1 Cl1 F6'
_cell_length_a 4.8260
_cell_length_b 5.2102
_cell_length_c 5.6927
_cell_angle_alpha 89.07
_cell_angle_beta 88.49
_cell_angle_gamma 76.31
_space_group_name_H-M_alt 'P -1'
_space_group_IT_number 2
_space_group_name_Hall '-P 1'
loop_
_atom_site_label
_atom_site_fract_x
_atom_site_fract_y
_atom_site_fract_z
Ag1 0.0000 0.0000 0.0000
P1 0.0000 0.5000 0.5000
Cl1 0.5000 0.0000 0.0000
F1 0.1400 0.6347 0.2729
F2 0.1424 0.6734 0.6837
F3 0.2835 0.2663 0.5090
```

Summary:
Formation energy (no corrections) in kcal/mol of atoms: -44.4
Magnetic moment in μB/cell: 0.292
DOS at the Fermi energy in states/eV/atom: 0.39
ρ in g/cm³: 3.4